# 1
Density functional theory data (PBE) for NaTaHgPd after structural relaxation.

Unit cell a=4.709 b=4.709 c=4.709 alpha=60.00 beta=60.00 gamma=60.00
Positions (direct):
1 Hg 0.000 0.000 0.000
2 Pd 0.500 0.500 0.500
3 Ta 0.250 0.250 0.250
4 Na 0.750 0.750 0.750

Calculated values
**Symmetry**: No. 216
**Energy above the lowest structure with this stoichiometry**: 0.000 eV per atom
**Final energy**: -4.356 eV/atom
**Total magnetization**: 0.0012 μB/atom

# 2
Density functional theory data (PBE) for SmTaN2O after structural relaxation.

Unit cell a=7.957 b=7.961 c=8.032 alpha=90.01 beta=91.00 gamma=90.10
Positions (direct):
1 N 0.203 0.957 0.526
2 Sm 0.515 0.248 0.995
3 N 0.222 0.540 0.528
4 N 0.706 0.555 0.023
5 Sm 0.983 0.748 0.549
6 N 0.313 0.748 0.809
7 Sm 0.471 0.749 0.539
8 Ta 0.761 0.492 0.782
9 O 0.499 0.434 0.740
10 N 0.209 0.752 0.224
11 O 0.288 0.252 0.338
12 N 0.500 0.951 0.316
13 Sm 0.965 0.750 0.039
14 N 0.792 0.248 0.827
15 Ta 0.239 0.508 0.269
16 N 0.500 0.049 0.735
17 N 0.778 0.460 0.523
18 O 0.820 0.754 0.306
19 N 0.000 0.549 0.814
20 Ta 0.247 0.512 0.779
21 Ta 0.753 0.488 0.272
22 N 0.719 0.949 0.026
23 O 0.002 0.066 0.240
24 Ta 0.740 0.006 0.270
25 Sm 0.035 0.250 0.011
26 Sm 0.484 0.752 0.056
27 N 0.000 0.451 0.236
28 Ta 0.260 0.995 0.781
29 O 0.998 0.934 0.811
30 Sm 0.017 0.252 0.502
31 N 0.280 0.051 0.025
32 Sm 0.529 0.252 0.511
33 N 0.687 0.252 0.242
34 O 0.180 0.245 0.745
35 Ta 0.252 0.991 0.284
36 N 0.294 0.446 0.028
37 O 0.712 0.748 0.712
38 Ta 0.748 0.009 0.767
39 N 0.797 0.043 0.524
40 O 0.501 0.566 0.311

Calculated values
**Symmetry**: No. 2
**Final energy**: -9.574 eV/atom
**Total magnetization**: 0.0003 μB/atom

# 3
Density functional theory data (PBE) for PmNi2Sb2 after structural relaxation.

Unit cell a=4.464 b=4.464 c=10.009 alpha=90.00 beta=90.00 gamma=90.00
Positions (direct):
1 Sb 0.000 0.500 0.874
2 Pm 0.500 0.000 0.762
3 Ni 0.000 0.500 0.625
4 Sb 0.500 0.000 0.126
5 Sb 0.500 0.500 0.500
6 Ni 0.000 0.000 0.000
7 Pm 0.000 0.500 0.238
8 Sb 0.000 0.000 0.500
9 Ni 0.500 0.000 0.375
10 Ni 0.500 0.500 0.000

Calculated values
**Symmetry**: No. 129
**Final energy**: -5.467 eV/atom
**Total magnetization**: 0.0002 μB/atom

# 4
Density functional theory data (PBE) for AcHoNb after structural relaxation.

Unit cell a=5.246 b=5.246 c=5.246 alpha=60.00 beta=60.00 gamma=60.00
Positions (direct):
1 Ac 0.750 0.750 0.750
2 Nb 0.000 0.000 0.000
3 Ho 0.250 0.250 0.250

Calculated values
**Symmetry**: No. 216
**Energy above the lowest structure with this stoichiometry**: 0.000 eV per atom
**Final energy**: -5.458 eV/atom
**Total magnetization**: 0.9254 μB/atom

# 5
Density functional theory data (PBE) for Cu2Ag3 after structural relaxation.

Unit cell a=4.884 b=2.843 c=11.375 alpha=90.00 beta=97.61 gamma=90.00
Positions (direct):
1 Cu 0.278 0.750 0.494
2 Cu 0.356 0.250 0.316
3 Ag 0.144 0.250 0.680
4 Ag 0.856 0.750 0.320
5 Cu 0.644 0.750 0.684
6 Ag 0.954 0.250 0.108
7 Ag 0.451 0.750 0.112
8 Cu 0.722 0.250 0.506
9 Ag 0.046 0.750 0.892
10 Ag 0.549 0.250 0.888

Calculated values
**Symmetry**: No. 11
**Energy above the lowest structure with this stoichiometry**: 0.051 eV per atom
**Final energy**: -3.099 eV/atom

# 6
Density functional theory data (PBE) for Tl5Sb2Au after structural relaxation.

Unit cell a=9.595 b=9.595 c=9.595 alpha=33.67 beta=33.67 gamma=33.67
Positions (direct):
1 Au 0.000 0.000 0.000
2 Tl 0.366 0.366 0.366
3 Tl 0.634 0.634 0.634
4 Tl 0.775 0.775 0.775
5 Tl 0.500 0.500 0.500
6 Sb 0.901 0.901 0.901
7 Sb 0.099 0.099 0.099
8 Tl 0.225 0.225 0.225

Calculated values
**Symmetry**: No. 166
**Final energy**: -2.948 eV/atom